# Sr2BePtAu PBE optimized geometry
data_Sr2BePtAu
_space_group_name_H-M_alt 'P 4/m m m'
_space_group_IT_number 123
_space_group_name_Hall '-P 4 2'
_cell_length_a 5.843
_cell_length_b 5.843
_cell_length_c 4.277
_cell_angle_alpha 90.00
_cell_angle_beta 90.00
_cell_angle_gamma 90.00
loop_
_atom_site_label
_atom_site_type_symbol
_atom_site_fract_x
_atom_site_fract_y
_atom_site_fract_z
Sr1 Sr 0.000 0.500 0.000
Be1 Be 0.000 0.000 0.500
Pt1 Pt 0.000 0.000 0.000
Au1 Au 0.500 0.500 0.500
# Fermi-level density of states: 0.58 states/eV per atom
# calculated formation energy: -0.41 eV per atom
# total moment: 0.0 μB/cell

---

# Be2TePtAu PBE optimized geometry
data_Be2TePtAu
_space_group_name_H-M_alt 'P 4/m m m'
_space_group_IT_number 123
_space_group_name_Hall '-P 4 2'
_cell_length_a 4.523
_cell_length_b 4.523
_cell_length_c 5.083
_cell_angle_alpha 90.00
_cell_angle_beta 90.00
_cell_angle_gamma 90.00
loop_
_atom_site_label
_atom_site_type_symbol
_atom_site_fract_x
_atom_site_fract_y
_atom_site_fract_z
Be1 Be 0.000 0.500 0.000
Te1 Te 0.000 0.000 0.000
Pt1 Pt 0.000 0.000 0.500
Au1 Au 0.500 0.500 0.500
# formation energy without anion corrections: 1076 meV per atom
# Fermi-level density of states: 0.85 states/eV per atom
# total moment: 0.0 μB/cell

---

# Th2Be3Pt12Au PBE optimized geometry
data_Th2Be3Pt12Au
_space_group_name_H-M_alt 'R -3 m'
_space_group_IT_number 166
_space_group_name_Hall '-R 3 2"'
_cell_length_a 8.0461
_cell_length_b 8.0461
_cell_length_c 18.1176
_cell_angle_alpha 90.00
_cell_angle_beta 90.00
_cell_angle_gamma 120.00
loop_
_atom_site_label
_atom_site_type_symbol
_atom_site_fract_x
_atom_site_fract_y
_atom_site_fract_z
Th1 Th 0.0000 0.0000 0.1105
Be1 Be 0.0000 0.5000 0.0000
Pt1 Pt 0.0242 0.5121 0.8744
Pt2 Pt 0.0272 0.5136 0.3682
Au1 Au 0.0000 0.0000 0.5000
# Fermi-level density of states: 0.37 states/eV per atom
# calculated formation energy: -0.46 eV per atom
# total moment: 0.0 μB/cell

---

# Th2Be3Pt4Au PBE optimized geometry
data_Th2Be3Pt4Au
_space_group_name_H-M_alt 'P -4 m 2'
_space_group_IT_number 115
_cell_length_a 4.007
_cell_length_b 4.007
_cell_length_c 10.866
_cell_angle_alpha 90.00
_cell_angle_beta 90.00
_cell_angle_gamma 90.00
loop_
_space_group_symop_operation_xyz
'x,y,z'
'y,-x,-z'
'-x,-y,z'
'-y,x,-z'
'-x,y,z'
'-y,-x,-z'
'x,-y,z'
'y,x,-z'
loop_
_atom_site_label
_atom_site_type_symbol
_atom_site_fract_x
_atom_site_fract_y
_atom_site_fract_z
Th1 Th 0.000 0.500 0.241
Be1 Be 0.000 0.500 0.889
Be2 Be 0.500 0.500 0.500
Pt1 Pt 0.000 0.000 0.000
Pt2 Pt 0.000 0.500 0.675
Pt3 Pt 0.500 0.500 0.000
Au1 Au 0.000 0.000 0.500
# Fermi-level density of states: 0.50 states/eV per atom
# calculated formation energy: -0.83 eV per atom
# total moment: 0.0 μB/cell

---

# Tm2Be3Pt4Au PBE optimized geometry
data_Tm2Be3Pt4Au
_space_group_name_H-M_alt 'P -4 m 2'
_space_group_IT_number 115
_cell_length_a 3.936
_cell_length_b 3.936
_cell_length_c 10.547
_cell_angle_alpha 90.00
_cell_angle_beta 90.00
_cell_angle_gamma 90.00
loop_
_space_group_symop_operation_xyz
'x,y,z'
'y,-x,-z'
'-x,-y,z'
'-y,x,-z'
'-x,y,z'
'-y,-x,-z'
'x,-y,z'
'y,x,-z'
loop_
_atom_site_label
_atom_site_type_symbol
_atom_site_fract_x
_atom_site_fract_y
_atom_site_fract_z
Tm1 Tm 0.000 0.500 0.237
Be1 Be 0.000 0.500 0.886
Be2 Be 0.500 0.500 0.500
Pt1 Pt 0.000 0.000 0.000
Pt2 Pt 0.000 0.500 0.674
Pt3 Pt 0.500 0.500 0.000
Au1 Au 0.000 0.000 0.500
# Fermi-level density of states: 0.24 states/eV per atom
# calculated formation energy: -0.85 eV per atom
# total moment: 0.0 μB/cell

---

# Y2BePtAu PBE optimized geometry
data_Y2BePtAu
_space_group_name_H-M_alt 'P 4/m m m'
_space_group_IT_number 123
_space_group_name_Hall '-P 4 2'
_cell_length_a 5.447
_cell_length_b 5.447
_cell_length_c 4.200
_cell_angle_alpha 90.00
_cell_angle_beta 90.00
_cell_angle_gamma 90.00
loop_
_atom_site_label
_atom_site_type_symbol
_atom_site_fract_x
_atom_site_fract_y
_atom_site_fract_z
Y1 Y 0.000 0.500 0.000
Be1 Be 0.000 0.000 0.500
Pt1 Pt 0.500 0.500 0.500
Au1 Au 0.000 0.000 0.000
# Fermi-level density of states: 0.77 states/eV per atom
# calculated formation energy: -0.09 eV per atom
# total moment: 0.0 μB/cell

---

# YBe2Pt2Au PBE optimized geometry
data_YBe2Pt2Au
_space_group_name_H-M_alt 'P 4/m m m'
_space_group_IT_number 123
_space_group_name_Hall '-P 4 2'
_cell_length_a 4.260
_cell_length_b 4.260
_cell_length_c 5.585
_cell_angle_alpha 90.00
_cell_angle_beta 90.00
_cell_angle_gamma 90.00
loop_
_atom_site_label
_atom_site_type_symbol
_atom_site_fract_x
_atom_site_fract_y
_atom_site_fract_z
Y1 Y 0.000 0.000 0.000
Be1 Be 0.000 0.500 0.500
Pt1 Pt 0.500 0.500 0.247
Au1 Au 0.000 0.000 0.500
# Fermi-level density of states: 0.43 states/eV per atom
# calculated formation energy: -0.42 eV per atom
# total moment: 0.0 μB/cell

---

# Y2Be3Pt4Au PBE optimized geometry
data_Y2Be3Pt4Au
_space_group_name_H-M_alt 'P -4 m 2'
_space_group_IT_number 115
_cell_length_a 3.979
_cell_length_b 3.979
_cell_length_c 10.524
_cell_angle_alpha 90.00
_cell_angle_beta 90.00
_cell_angle_gamma 90.00
loop_
_space_group_symop_operation_xyz
'x,y,z'
'y,-x,-z'
'-x,-y,z'
'-y,x,-z'
'-x,y,z'
'-y,-x,-z'
'x,-y,z'
'y,x,-z'
loop_
_atom_site_label
_atom_site_type_symbol
_atom_site_fract_x
_atom_site_fract_y
_atom_site_fract_z
Y1 Y 0.000 0.500 0.238
Be1 Be 0.000 0.500 0.887
Be2 Be 0.500 0.500 0.500
Pt1 Pt 0.000 0.000 0.000
Pt2 Pt 0.000 0.500 0.673
Pt3 Pt 0.500 0.500 0.000
Au1 Au 0.000 0.000 0.500
# Fermi-level density of states: 0.26 states/eV per atom
# calculated formation energy: -0.84 eV per atom
# total moment: 0.0 μB/cell

---

Question: Look up the total moment of the second one.
Answer: 0.0 μB/cell

---

Question: Among the records above, which one has the highest Fermi-level density of states?
Answer: Be2TePtAu